Density functional theory data (SCAN) for a crystal of Na2Si2Pt relaxed with PBEsol.

The space group is P4/mbm (No. 127) and the conventional cell measures 6.182, 6.182 and 4.913 Å, with angles of 90.00, 90.00 and 90.00 degrees. The distinct sites, in fractional coordinates, are Na at (0.182, 0.318, 0.000), Si at (0.133, 0.633, 0.500) and Pt at (0.000, 0.000, 0.500).

The uncorrected formation energy is -437 meV per atom. The value obtained for the raw total energy is -20.17 eV/atom. The calculation puts the mass density at 5.3 g/cm3. The density of states at the Fermi level is 4.59 states/eV per cell.

=====

Density functional theory data (SCAN) for a crystal of Sr2LiPt relaxed with PBEsol.

The space group is P4mm (No. 99) and the conventional cell measures 3.665, 3.665 and 8.361 Å, with angles of 90.00, 90.00 and 90.00 degrees. The distinct sites, in fractional coordinates, are Sr at (0.000, 0.000, 0.000), Sr at (0.500, 0.500, 0.416), Li at (0.000, 0.000, 0.670) and Pt at (0.500, 0.500, 0.777).

The excess energy over the best structure of this formula in the dataset comes out at 217.2 meV/atom. The value obtained for the raw total energy is -29.61 eV/atom. The calculation puts the mass density at 5.6 g/cm3. The density of states at the Fermi level is 2.77 states/eV per cell.

=====

Density functional theory data (SCAN) for a crystal of Re3RhS relaxed with PBEsol.

The space group is Pm-3m (No. 221) and the conventional cell measures 4.617, 4.617 and 4.617 Å, with angles of 90.00, 90.00 and 90.00 degrees. The distinct sites, in fractional coordinates, are Re at (0.000, 0.000, 0.500), Rh at (0.000, 0.000, 0.000) and S at (0.500, 0.500, 0.500).

The uncorrected formation energy is 2688 meV per atom. The excess energy over the best structure of this formula in the dataset comes out at 1546.5 meV/atom. The value obtained for the raw total energy is -48.65 eV/atom. The calculation puts the mass density at 11.7 g/cm3. The density of states at the Fermi level is 5.24 states/eV per cell.

=====

Density functional theory data (SCAN) for a crystal of BeFe relaxed with PBEsol.

The space group is Cmcm (No. 63) and the conventional cell measures 2.406, 8.530 and 3.527 Å, with angles of 90.00, 90.00 and 90.00 degrees. The distinct sites, in fractional coordinates, are Be at (0.000, 0.067, 0.250) and Fe at (0.000, 0.331, 0.250).

The value obtained for the raw total energy is -11.40 eV/atom. The calculation puts the mass density at 6.0 g/cm3. The density of states at the Fermi level is 3.03 states/eV per cell.

=====

Density functional theory data (SCAN) for a crystal of Cu2AgP relaxed with PBEsol.

The space group is I-4m2 (No. 119) and the conventional cell measures 3.699, 3.699 and 7.773 Å, with angles of 90.00, 90.00 and 90.00 degrees. The distinct sites, in fractional coordinates, are Cu at (0.000, 0.000, 0.000), Cu at (0.000, 0.500, 0.250), Ag at (0.000, 0.500, 0.750) and P at (0.000, 0.000, 0.500).

The value obtained for the raw total energy is -17.83 eV/atom. The calculation puts the mass density at 8.3 g/cm3. The density of states at the Fermi level is 2.53 states/eV per cell.

=====

Density functional theory data (SCAN) for a crystal of SbCSe2 relaxed with PBEsol.

The space group is R-3m (No. 166, hexagonal axes) and the conventional cell measures 3.6695, 3.6695 and 23.9116 Å, with angles of 90.00, 90.00 and 120.00 degrees. The distinct sites, in fractional coordinates, are Sb at (0.0000, 0.0000, 0.0000), C at (0.0000, 0.0000, 0.5000) and Se at (0.0000, 0.0000, 0.4273).

The uncorrected formation energy is 930 meV per atom. The excess energy over the best structure of this formula in the dataset comes out at 0.0 meV/atom. The value obtained for the raw total energy is -20.95 eV/atom. The calculation puts the mass density at 5.2 g/cm3. The density of states at the Fermi level is 5.42 states/eV per cell.

=====

Density functional theory data (SCAN) for a crystal of Ba2SrAg relaxed with PBEsol.

The space group is R3m (No. 160, hexagonal axes) and the conventional cell measures 4.5221, 4.5221 and 32.9531 Å, with angles of 90.00, 90.00 and 120.00 degrees. The distinct sites, in fractional coordinates, are Ba at (0.0000, 0.0000, 0.0000), Ba at (0.0000, 0.0000, 0.2195), Sr at (0.0000, 0.0000, 0.4452) and Ag at (0.0000, 0.0000, 0.7256).

The excess energy over the best structure of this formula in the dataset comes out at 43.9 meV/atom. The value obtained for the raw total energy is -33.27 eV/atom. The calculation puts the mass density at 4.0 g/cm3. The density of states at the Fermi level is 13.06 states/eV per cell.

=====

Density functional theory data (SCAN) for a crystal of LiSbTe2 relaxed with PBEsol.

The space group is R-3m (No. 166, hexagonal axes) and the conventional cell measures 3.4299, 3.4299 and 30.2533 Å, with angles of 90.00, 90.00 and 120.00 degrees. The distinct sites, in fractional coordinates, are Li at (0.0000, 0.0000, 0.0000), Sb at (0.0000, 0.0000, 0.5000) and Te at (0.0000, 0.0000, 0.4006).

The uncorrected formation energy is -159 meV per atom. The value obtained for the raw total energy is -28.70 eV/atom. The calculation puts the mass density at 6.2 g/cm3. The density of states at the Fermi level is 6.50 states/eV per cell.